Here is a relaxed CaTiZn3 crystal from Alexandria via LeMat-Bulk. Energies are from PBE.

Structure (extended XYZ):
```
5
Lattice="-4.2144 -2.5444 0.7909 1.2202 -0.5273 4.8056 -2.3687 4.2554 1.0684" Properties=species:S:1:pos:R:3 pbc="T T T"
Ca -2.6815 0.5918 3.3324
Zn 0.6101 -0.2637 2.4028
Zn -2.1072 -1.2722 0.3954
Ti 0.0000 0.0000 0.0000
Zn -1.1844 2.1277 0.5342
```

N(E_F) = 4.229 states/eV/f.u.
ΔE to the lowest computed polymorph = 0 meV/atom
VASP energy = -2.404 eV/atom
calculated formation energy = 0.339 eV/atom

=====

Here is a relaxed CaTiZn2 crystal from Alexandria via LeMat-Bulk. Energies are from PBE.

Structure (extended XYZ):
```
4
Lattice="3.1846 0.0000 0.0000 0.0000 4.9303 0.0000 0.0000 0.0000 4.9303" Properties=species:S:1:pos:R:3 pbc="T T T"
Zn 0.0000 0.0000 2.4651
Zn 0.0000 2.4651 0.0000
Ca 1.5923 2.4651 2.4651
Ti 1.5923 0.0000 0.0000
```

N(E_F) = 2.775 states/eV/f.u.
VASP energy = -3.139 eV/atom
calculated formation energy = -0.027 eV/atom

=====

Here is a relaxed CaTi2Zn crystal from Alexandria via LeMat-Bulk. Energies are from PBE.

Structure (extended XYZ):
```
8
Lattice="4.0419 0.0000 0.0000 0.0000 4.0419 0.0000 2.0209 2.0209 10.5222" Properties=species:S:1:pos:R:3 pbc="T T T"
Ti 3.0314 2.9104 7.8917
Ti 0.8894 3.0314 2.6306
Zn 4.0419 2.0209 5.2611
Ti 5.0524 5.1734 7.8917
Ca 2.0209 4.0419 5.2611
Zn 0.0000 0.0000 0.0000
Ti 3.1524 1.0105 2.6306
Ca 2.0209 2.0209 0.0000
```

N(E_F) = 5.613 states/eV/f.u.
VASP energy = -4.252 eV/atom
calculated formation energy = 0.514 eV/atom